## Th8Bi4C3N (GGA-PBE)

Data for a relaxed structure of Th8Bi4C3N.

For the density of states at the Fermi level, the calculation gives 0.4648 states/eV per atom. As for the calculated volume: 403 Å³/cell. The magnetization is 0.000 Bohr magnetons per cell. For the uncorrected formation energy, the calculation gives -585 meV/atom. For the density, the calculation gives 11288 kg/m³. Its space group is No. 12.

```
data_Th8Bi4C3N
_chemical_formula_sum 'Th8 Bi4 C3 N1'
_symmetry_space_group_name_H-M 'P 1'
_symmetry_Int_Tables_number 1
_symmetry_space_group_name_Hall 'P 1'
_cell_length_a 7.650
_cell_length_b 7.650
_cell_length_c 9.200
_cell_angle_alpha 115.28
_cell_angle_beta 115.28
_cell_angle_gamma 59.37
loop_
_atom_site_label
_atom_site_type_symbol
_atom_site_fract_x
_atom_site_fract_y
_atom_site_fract_z
Th1 Th 0.225 0.728 0.675
Th2 Th 0.226 0.226 0.675
Th3 Th 0.272 0.775 0.325
Th4 Th 0.274 0.274 0.324
Th5 Th 0.726 0.726 0.676
Th6 Th 0.728 0.225 0.675
Th7 Th 0.774 0.774 0.325
Th8 Th 0.775 0.272 0.325
Bi1 Bi 0.000 0.000 0.000
Bi2 Bi 0.000 0.500 0.000
Bi3 Bi 0.500 0.000 0.000
Bi4 Bi 0.500 0.500 0.000
C1 C 0.000 0.500 0.500
C2 C 0.500 0.000 0.500
C3 C 0.500 0.500 0.500
N1 N 0.000 0.000 0.500
```